Record 1
This record from Alexandria describes a relaxed structure of CsNi3Ag. The functional is GGA-PBE.

Cell lengths 4.8059, 4.8059, 4.8059 Å; angles 90.00, 90.00, 90.00 degrees
Sites, in units of the cell vectors:
Cs 0.0000 0.0000 0.0000
Ni 0.0000 0.0000 0.5000
Ni 0.0000 0.5000 0.0000
Ni 0.5000 0.0000 0.0000
Ag 0.5000 0.5000 0.5000

Its electronic total energy is -0.081 hartree per atom. The calculation puts the total moment at 0.00 μB/cell. The calculation puts the formation energy at 2.02 eV per atom. The calculation puts the density of states at the Fermi level at 3.32 states/eV/f.u.

Record 2
This record from Alexandria describes a relaxed structure of Cs2NiAg2. The functional is GGA-PBE.

Cell lengths 7.2075, 7.2075, 5.8745 Å; angles 90.00, 90.00, 90.00 degrees
Sites, in units of the cell vectors:
Cs 0.1797 0.3203 0.0000
Cs 0.3203 0.8203 0.0000
Cs 0.6797 0.1797 0.0000
Cs 0.8203 0.6797 0.0000
Ni 0.0000 0.0000 0.5000
Ni 0.5000 0.5000 0.5000
Ag 0.1477 0.6477 0.5000
Ag 0.3523 0.1477 0.5000
Ag 0.6477 0.8523 0.5000
Ag 0.8523 0.3523 0.5000

Its electronic total energy is -0.081 hartree per atom. The calculation puts the total moment at 0.00 μB/cell. The calculation puts the formation energy at 0.45 eV per atom. The calculation puts the density of states at the Fermi level at 1.75 states/eV/f.u.

Record 3
This record from Alexandria describes a relaxed structure of Cs3NiAg. The functional is GGA-PBE.

Cell lengths 6.4990, 6.4990, 6.4990 Å; angles 90.00, 90.00, 90.00 degrees
Sites, in units of the cell vectors:
Cs 0.0000 0.0000 0.5000
Cs 0.0000 0.5000 0.0000
Cs 0.5000 0.0000 0.0000
Ni 0.0000 0.0000 0.0000
Ag 0.5000 0.5000 0.5000

Its electronic total energy is -0.066 hartree per atom. The calculation puts the total moment at 0.00 μB/cell. The calculation puts the formation energy at 0.44 eV per atom. The calculation puts the density of states at the Fermi level at 0.52 states/eV/f.u.

Record 4
This record from Alexandria describes a relaxed structure of CsRbNiAg2. The functional is GGA-PBE.

Cell lengths 5.2596, 5.2596, 5.7182 Å; angles 90.00, 90.00, 90.00 degrees
Sites, in units of the cell vectors:
Cs 0.0000 0.0000 0.0000
Rb 0.5000 0.5000 0.0000
Ni 0.5000 0.5000 0.5000
Ag 0.0000 0.5000 0.5000
Ag 0.5000 0.0000 0.5000

Its electronic total energy is -0.084 hartree per atom. The calculation puts the total moment at 0.00 μB/cell. The calculation puts the formation energy at 0.38 eV per atom. The calculation puts the density of states at the Fermi level at 1.25 states/eV/f.u.

Record 5
This record from Alexandria describes a relaxed structure of Cs2RbNiAg. The functional is GGA-PBE.

Cell lengths 6.7434, 6.7434, 5.1730 Å; angles 90.00, 90.00, 90.00 degrees
Sites, in units of the cell vectors:
Cs 0.0000 0.5000 0.0000
Cs 0.5000 0.0000 0.0000
Rb 0.0000 0.0000 0.5000
Ni 0.5000 0.5000 0.0000
Ag 0.5000 0.5000 0.5000

Its electronic total energy is -0.068 hartree per atom. The calculation puts the total moment at 0.00 μB/cell. The calculation puts the formation energy at 0.42 eV per atom. The calculation puts the density of states at the Fermi level at 0.73 states/eV/f.u.

Record 6
This record from Alexandria describes a relaxed structure of CsTcNi2Ag. The functional is GGA-PBE.

Cell lengths 4.7322, 4.7322, 5.0574 Å; angles 90.00, 90.00, 90.00 degrees
Sites, in units of the cell vectors:
Cs 0.0000 0.0000 0.0000
Tc 0.0000 0.0000 0.5000
Ni 0.0000 0.5000 0.0000
Ni 0.5000 0.0000 0.0000
Ag 0.5000 0.5000 0.5000

Its electronic total energy is -0.100 hartree per atom. The calculation puts the total moment at 2.00 μB/cell. The calculation puts the formation energy at 2.41 eV per atom. The calculation puts the density of states at the Fermi level at 5.52 states/eV/f.u.